# 1
The following is a DFT calculation (PBE) of crystalline Pr4Nd10Dy at its relaxed geometry.

Results
The calculation puts the electronic total energy at -4.539 eV/atom.

```
15
Lattice="1.339 4.574 6.484 5.663 -3.482 6.281 7.045 5.805 -0.557" Properties=species:S:1:pos:R:3 pbc="T T T"
Nd 6.906 1.726 9.438
Nd 10.695 4.126 7.766
Nd 7.703 7.090 5.490
Nd 6.344 -0.193 6.718
Pr 4.238 6.171 4.759
Nd 11.257 6.046 10.486
Pr 10.651 7.756 7.309
Nd 3.352 2.770 4.442
Nd 6.689 2.305 4.483
Nd 2.790 0.851 1.722
Nd 7.358 4.592 7.725
Nd 7.141 5.171 2.769
Dy 0.000 0.000 0.000
Pr 9.809 0.726 7.449
Pr 3.396 -0.859 4.898
```

=====

# 2
The following is a DFT calculation (PBE) of crystalline CdSnPd2 at its relaxed geometry.

Results
The calculation puts the electronic total energy at -3.738 eV/atom.

```
4
Lattice="-1.266 -2.079 -5.586 -3.449 0.169 5.021 0.460 4.518 4.062" Properties=species:S:1:pos:R:3 pbc="T T T"
Pd -0.760 1.192 2.311
Cd 0.000 0.000 0.000
Pd -2.228 3.495 6.772
Sn -1.494 2.343 4.541
```

=====

# 3
The following is a DFT calculation (PBE) of crystalline Cd2PRh at its relaxed geometry.

Results
The calculation puts the electronic total energy at -3.454 eV/atom.

```
4
Lattice="3.004 0.000 0.000 0.000 3.004 0.000 0.000 0.000 8.097" Properties=species:S:1:pos:R:3 pbc="T T T"
Cd 0.000 0.000 2.188
Rh 1.502 1.502 4.049
Cd 0.000 0.000 5.909
P 1.502 1.502 0.000
```

=====

# 4
The following is a DFT calculation (PBE) of crystalline NbTeIO2 at its relaxed geometry.

Results
The formation energy from raw total energies comes out at -0.822 eV per atom.

```
5
Lattice="-1.255 3.368 1.969 0.691 -1.844 3.595 5.907 2.205 -0.005" Properties=species:S:1:pos:R:3 pbc="T T T"
O -0.628 1.684 0.984
O 0.346 -0.922 1.797
Nb 0.000 0.000 0.000
Te 2.671 1.865 2.779
I 2.953 1.102 -0.003
```

=====

# 5
The following is a DFT calculation (PBE) of crystalline ScBe2Au at its relaxed geometry.

Results
The calculation puts the electronic total energy at -4.412 eV/atom.

```
4
Lattice="2.944 0.000 0.000 0.000 2.944 0.000 0.000 0.000 6.488" Properties=species:S:1:pos:R:3 pbc="T T T"
Au 1.472 1.472 5.208
Be 1.472 1.472 1.231
Sc 0.000 0.000 3.060
Be 0.000 0.000 0.232
```

=====

# 6
The following is a DFT calculation (PBE) of crystalline CdHg2Bi at its relaxed geometry.

Results
The calculation puts the electronic total energy at -1.231 eV/atom.

```
4
Lattice="-1.712 -3.308 2.012 0.808 -3.937 -1.331 5.561 -2.726 4.705" Properties=species:S:1:pos:R:3 pbc="T T T"
Hg 4.200 -2.653 3.666
Cd 4.944 -7.555 5.148
Bi 2.349 -4.986 2.709
Hg 1.053 -2.487 1.261
```

=====

# 7
The following is a DFT calculation (PBE) of crystalline Eu3InO at its relaxed geometry.

Results
The formation energy from raw total energies comes out at -1.344 eV per atom.

```
5
Lattice="-4.860 1.435 -0.103 -1.419 -4.841 -0.498 -0.239 -0.448 5.043" Properties=species:S:1:pos:R:3 pbc="T T T"
Eu -3.139 -1.703 -0.300
Eu -0.829 -2.645 2.273
In 0.000 0.000 0.000
Eu -2.550 0.493 2.470
O -3.259 -1.927 2.221
```

=====

# 8
The following is a DFT calculation (PBE) of crystalline BaSr2AuO at its relaxed geometry.

Results
The formation energy from raw total energies comes out at -1.282 eV per atom.

```
5
Lattice="5.013 0.000 0.000 0.000 5.013 0.000 0.000 0.000 5.757" Properties=species:S:1:pos:R:3 pbc="T T T"
Sr 0.000 2.507 0.000
O 0.000 0.000 0.000
Ba 0.000 0.000 2.878
Au 2.507 2.507 2.878
Sr 2.507 0.000 0.000
```

=====

# 9
The following is a DFT calculation (PBE) of crystalline Hf2ThNi2Sb2 at its relaxed geometry.

Results
The formation energy from raw total energies comes out at -0.406 eV per atom.

```
7
Lattice="4.485 0.000 0.000 2.242 3.884 0.000 2.242 1.295 8.487" Properties=species:S:1:pos:R:3 pbc="T T T"
Ni 4.485 2.589 2.940
Hf 6.727 3.884 3.469
Th 0.000 0.000 0.000
Sb 6.727 3.884 6.568
Hf 2.242 1.295 5.019
Sb 2.242 1.295 1.919
Ni 4.485 2.589 5.548
```

=====

# 10
The following is a DFT calculation (PBE) of crystalline Sr2CdGa3 at its relaxed geometry.

Results
The calculation puts the electronic total energy at -2.673 eV/atom.

```
6
Lattice="4.401 0.000 1.843 2.031 5.635 1.327 0.012 -0.268 6.146" Properties=species:S:1:pos:R:3 pbc="T T T"
Ga 4.159 1.188 2.421
Ga 4.881 3.185 6.871
Cd 1.537 2.165 2.505
Ga 2.306 4.183 6.845
Sr 2.830 0.965 5.593
Sr 3.617 4.416 3.714
```

=====

# 11
The following is a DFT calculation (PBE) of crystalline Dy2TmSn2 at its relaxed geometry.

Results
The calculation puts the electronic total energy at -4.920 eV/atom.

```
10
Lattice="4.525 0.000 0.000 0.000 6.646 0.000 -2.263 0.000 9.143" Properties=species:S:1:pos:R:3 pbc="T T T"
Sn 0.000 5.478 3.281
Tm 0.000 0.562 7.429
Dy 2.263 5.497 5.332
Sn 0.000 2.189 0.211
Sn 2.263 2.155 5.862
Sn 2.263 5.512 8.931
Tm 2.263 3.885 1.714
Dy 2.263 0.460 1.693
Dy 0.000 2.174 3.810
Dy 0.000 3.783 7.449
```

=====

# 12
The following is a DFT calculation (PBE) of crystalline Cr2TcMoN at its relaxed geometry.

Results
The formation energy from raw total energies comes out at -0.088 eV per atom.

```
5
Lattice="3.868 0.000 0.000 0.000 3.868 0.000 0.000 0.000 4.024" Properties=species:S:1:pos:R:3 pbc="T T T"
Tc 0.000 0.000 2.012
N 0.000 0.000 0.000
Cr 1.934 0.000 0.000
Cr 0.000 1.934 0.000
Mo 1.934 1.934 2.012
```

=====

| no. | density of states at the Fermi level (states/eV per cell) |
| --- | --- |
| 1 | 21.92 |
| 2 | 1.82 |
| 3 | 2.71 |
| 4 | 2.33 |
| 5 | 1.27 |
| 6 | 1.54 |
| 7 | 24.64 |
| 8 | 1.94 |
| 9 | 7.76 |
| 10 | 2.39 |
| 11 | 8.91 |
| 12 | 5.39 |